1.
Nb3SnO: relaxed, PBE.

abc: 5.0938 5.0938 5.0938
angles: 90.00 90.00 90.00
Space group Pm-3m (No. 221)
Asymmetric unit:
Nb 0.0000 0.0000 0.5000 (multiplicity 3)
Sn 0.0000 0.0000 0.0000 (multiplicity 1)
O 0.5000 0.5000 0.5000 (multiplicity 1)

Calculated values
- Fermi-level density of states: 1.525 states/eV per atom
- Distance to the lowest polymorph of the same formula: 3010 meV per atom
- Uncorrected formation energy: 1099 kJ/mol of formula units
- Energy: -5.5559 eV/atom

=====

2.
La2Pr2Ho: relaxed, PBE.

abc: 7.0771 16.3257 6.4631
angles: 90.00 90.00 90.00
Space group Cmcm (No. 63)
Asymmetric unit:
La 0.2340 0.1674 0.2500 (multiplicity 8)
Pr 0.0000 0.1717 0.7500 (multiplicity 4)
Pr 0.0000 0.4095 0.2500 (multiplicity 4)
Ho 0.0000 0.0000 0.0000 (multiplicity 4)

Calculated values
- Fermi-level density of states: 1.573 states/eV per atom
- Distance to the lowest polymorph of the same formula: 227 meV per atom
- Energy: -4.5406 eV/atom

=====

3.
TmSc2In2Hg2: relaxed, PBE.

abc: 4.8061 4.8061 25.3864
angles: 90.00 90.00 120.00
Space group R-3m (No. 166, hexagonal axes)
Asymmetric unit:
Tm 0.0000 0.0000 0.0000 (multiplicity 3)
Sc 0.0000 0.0000 0.1351 (multiplicity 6)
In 0.0000 0.0000 0.2677 (multiplicity 6)
Hg 0.0000 0.0000 0.4368 (multiplicity 6)

Calculated values
- Fermi-level density of states: 0.674 states/eV per atom
- Energy: -3.5431 eV/atom

=====

4.
BaLaTe2N: relaxed, PBE.

abc: 6.4992 6.4992 4.1785
angles: 90.00 90.00 90.00
Space group P4/mmm (No. 123)
Asymmetric unit:
Ba 0.0000 0.0000 0.0000 (multiplicity 1)
La 0.5000 0.5000 0.5000 (multiplicity 1)
Te 0.0000 0.5000 0.5000 (multiplicity 2)
N 0.5000 0.5000 0.0000 (multiplicity 1)

Calculated values
- Fermi-level density of states: 0.775 states/eV per atom
- Distance to the lowest polymorph of the same formula: 0 meV per atom
- Uncorrected formation energy: -361 kJ/mol of formula units
- Energy: -5.0404 eV/atom

=====

5.
SrLiRe: relaxed, PBE.

abc: 6.6797 6.6797 6.6797
angles: 90.00 90.00 90.00
Space group F-43m (No. 216)
Asymmetric unit:
Sr 0.0000 0.0000 0.0000 (multiplicity 4)
Li 0.2500 0.2500 0.2500 (multiplicity 4)
Re 0.0000 0.0000 0.5000 (multiplicity 4)

Calculated values
- Fermi-level density of states: 1.409 states/eV per atom
- Distance to the lowest polymorph of the same formula: 568 meV per atom
- Energy: -3.8829 eV/atom

=====

6.
Cs12Bi3Cl5: relaxed, PBE.

abc: 21.4874 21.4874 21.4874
angles: 90.00 90.00 90.00
Space group Ia-3d (No. 230)
Asymmetric unit:
Cs 0.0211 0.0625 0.6526 (multiplicity 96)
Bi 0.0000 0.2500 0.1250 (multiplicity 24)
Cl 0.0000 0.0000 0.0000 (multiplicity 16)
Cl 0.0000 0.2500 0.3750 (multiplicity 24)

Calculated values
- Fermi-level density of states: 0.997 states/eV per atom
- Uncorrected formation energy: -2085 kJ/mol of formula units
- Energy: -2.6363 eV/atom

=====

7.
NdMg2Zn9: relaxed, PBE.

abc: 9.1064 9.1064 3.0490
angles: 90.00 90.00 120.00
Space group P6/mmm (No. 191)
Asymmetric unit:
Nd 0.0000 0.0000 0.0000 (multiplicity 1)
Mg 0.3333 0.6667 0.0000 (multiplicity 2)
Zn 0.0000 0.5000 0.0000 (multiplicity 3)
Zn 0.1786 0.3573 0.5000 (multiplicity 6)

Calculated values
- Fermi-level density of states: 0.322 states/eV per atom
- Distance to the lowest polymorph of the same formula: 192 meV per atom
- Energy: -1.6276 eV/atom

=====

8.
PmNd2Y6Er: relaxed, PBE.

abc: 9.1184 15.0762 9.8016
angles: 90.00 99.50 90.00
Space group C2/c (No. 15)
Asymmetric unit:
Pm 0.0000 0.0182 0.2500 (multiplicity 4)
Nd 0.2443 0.0496 0.5447 (multiplicity 8)
Y 0.0679 0.1895 0.9429 (multiplicity 8)
Y 0.0980 0.3948 0.1176 (multiplicity 8)
Y 0.2048 0.2225 0.3140 (multiplicity 8)
Er 0.0000 0.4068 0.7500 (multiplicity 4)

Calculated values
- Fermi-level density of states: 1.457 states/eV per atom
- Energy: -5.6522 eV/atom

=====

Q: energy of number 3 (TmSc2In2Hg2)?
A: -3.5431 eV/atom

=====

Q: Which of these has the lowest energy?
A: PmNd2Y6Er

=====

Q: Which formula does entry 6 have?
A: Cs12Bi3Cl5